BaHoTc2O8: optimized geometry, PBE.

Lattice parameters (Å, degrees): 5.9178 5.9178 7.5816 90.00 90.00 120.00
Closest atoms and distances in Å follow each position.
Space group P-3m1 (No. 164)
Symmetry-distinct sites (fractional):
Ba (0.0000, 0.0000, 0.0000) [1 per cell]  6 O 2.86
Ho (0.0000, 0.0000, 0.5000) [1 per cell]  6 O 2.24
Tc (0.3333, 0.6667, 0.7692) [2 per cell]  4 O 1.78-1.82
O (0.1640, 0.3281, 0.6946) [6 per cell]  1 Tc 1.82
O (0.3333, 0.6667, 0.0037) [2 per cell]  1 Tc 1.78

Values from the calculation:
- total DFT energy (no corrections) (Ry/atom) = -0.563
- D(E_F) (states/eV/f.u.) = 8.25